[1]
# Sc2SiRhN (GGA-PBE, relaxed)
# crystal system = tetragonal
# E_form (uncorrected) = 3.2 kJ per mole of atoms
# total magnetization = 0.000 Bohr magnetons per cell
# E = -6.720 eV/atom
data_Sc2SiRhN
_chemical_formula_sum 'Sc2 Si1 Rh1 N1'
_space_group_name_H-M_alt 'P 4/m m m'
_space_group_IT_number 123
_space_group_name_Hall '-P 4 2'
_cell_length_a 5.1509
_cell_length_b 5.1509
_cell_length_c 3.6569
_cell_angle_alpha 90.00
_cell_angle_beta 90.00
_cell_angle_gamma 90.00
loop_
_atom_site_label
_atom_site_fract_x
_atom_site_fract_y
_atom_site_fract_z
Sc1 0.0000 0.5000 0.0000
Si1 0.0000 0.0000 0.5000
Rh1 0.5000 0.5000 0.0000
N1 0.5000 0.5000 0.5000

[2]
# Ba3HgPd (GGA-PBE, relaxed)
# crystal system = orthorhombic
# energy of formation = -407 meV per atom
# energy above the most stable polymorph in this dataset = 0.001 eV per atom
# total magnetization = 0.000 Bohr magnetons per cell
# E = -2.660 eV/atom
data_Ba3HgPd
_chemical_formula_sum 'Ba12 Hg4 Pd4'
_space_group_name_H-M_alt 'A m m 2'
_space_group_IT_number 38
_space_group_name_Hall 'A 2 -2'
_cell_length_a 4.6220
_cell_length_b 16.3744
_cell_length_c 11.4464
_cell_angle_alpha 90.00
_cell_angle_beta 90.00
_cell_angle_gamma 90.00
loop_
_atom_site_label
_atom_site_fract_x
_atom_site_fract_y
_atom_site_fract_z
Ba1 0.0000 0.1245 0.0000
Ba2 0.0000 0.1245 0.6270
Ba3 0.5000 0.1653 0.3136
Hg1 0.0000 0.0000 0.3125
Hg2 0.5000 0.0000 0.8134
Pd1 0.5000 0.2500 0.0635

[3]
# Tb12Nd2Dy (GGA-PBE, relaxed)
# crystal system = monoclinic
# energy of formation = 111 meV per atom
# total magnetization = 0.000 Bohr magnetons per cell
# E = -4.535 eV/atom
data_Tb12Nd2Dy
_chemical_formula_sum 'Tb48 Nd8 Dy4'
_space_group_name_H-M_alt 'C 1 2/m 1'
_space_group_IT_number 12
_space_group_name_Hall '-C 2y'
_cell_length_a 7.1177
_cell_length_b 11.2732
_cell_length_c 24.5551
_cell_angle_alpha 90.00
_cell_angle_beta 94.19
_cell_angle_gamma 90.00
loop_
_atom_site_label
_atom_site_fract_x
_atom_site_fract_y
_atom_site_fract_z
Tb1 0.0166 0.2500 0.0729
Tb2 0.1119 0.2494 0.4449
Tb3 0.1419 0.5000 0.5727
Tb4 0.1430 0.0000 0.5719
Tb5 0.1683 0.2496 0.6698
Tb6 0.2013 0.2503 0.8001
Tb7 0.2176 0.0000 0.8644
Tb8 0.2178 0.5000 0.8649
Nd1 0.0666 0.5000 0.2723
Nd2 0.0677 0.0000 0.2725
Dy1 0.2499 0.0000 0.9998

[4]
# K5CdSeO2 (GGA-PBE, relaxed)
# crystal system = tetragonal
# E_form (uncorrected) = -97.4 kJ per mole of atoms
# total magnetization = 0.546 Bohr magnetons per cell
# E = -3.209 eV/atom
data_K5CdSeO2
_chemical_formula_sum 'K5 Cd1 Se1 O2'
_space_group_name_H-M_alt 'P 4/m m m'
_space_group_IT_number 123
_space_group_name_Hall '-P 4 2'
_cell_length_a 5.3677
_cell_length_b 5.3677
_cell_length_c 9.5620
_cell_angle_alpha 90.00
_cell_angle_beta 90.00
_cell_angle_gamma 90.00
loop_
_atom_site_label
_atom_site_fract_x
_atom_site_fract_y
_atom_site_fract_z
K1 0.0000 0.0000 0.0000
K2 0.0000 0.5000 0.2421
Cd1 0.0000 0.0000 0.5000
Se1 0.5000 0.5000 0.0000
O1 0.0000 0.0000 0.2832

[5]
# Cu2OsAu (GGA-PBE, relaxed)
# crystal system = orthorhombic
# energy of formation = 382 meV per atom
# energy above the most stable polymorph in this dataset = 0.153 eV per atom
# total magnetization = 0.001 Bohr magnetons per cell
# E = -5.293 eV/atom
data_Cu2OsAu
_chemical_formula_sum 'Cu4 Os2 Au2'
_space_group_name_H-M_alt 'A m m 2'
_space_group_IT_number 38
_space_group_name_Hall 'A 2 -2'
_cell_length_a 4.2254
_cell_length_b 2.6377
_cell_length_c 10.1621
_cell_angle_alpha 90.00
_cell_angle_beta 90.00
_cell_angle_gamma 90.00
loop_
_atom_site_label
_atom_site_fract_x
_atom_site_fract_y
_atom_site_fract_z
Cu1 0.0000 0.0000 0.0000
Cu2 0.5000 0.0000 0.1318
Os1 0.0000 0.0000 0.7305
Au1 0.5000 0.0000 0.3863

[6]
# Sr2Ge3SbPd4 (GGA-PBE, relaxed)
# crystal system = tetragonal
# E_form (uncorrected) = -68.2 kJ per mole of atoms
# total magnetization = 0.000 Bohr magnetons per cell
# E = -4.917 eV/atom
data_Sr2Ge3SbPd4
_chemical_formula_sum 'Sr2 Ge3 Sb1 Pd4'
_space_group_name_H-M_alt 'P -4 m 2'
_space_group_IT_number 115
_space_group_name_Hall 'P -4 -2'
_cell_length_a 4.4954
_cell_length_b 4.4954
_cell_length_c 10.4814
_cell_angle_alpha 90.00
_cell_angle_beta 90.00
_cell_angle_gamma 90.00
loop_
_atom_site_label
_atom_site_fract_x
_atom_site_fract_y
_atom_site_fract_z
Sr1 0.0000 0.5000 0.2437
Ge1 0.0000 0.5000 0.8834
Ge2 0.5000 0.5000 0.5000
Sb1 0.0000 0.0000 0.5000
Pd1 0.0000 0.0000 0.0000
Pd2 0.0000 0.5000 0.6412
Pd3 0.5000 0.5000 0.0000

Results for Fermi-level density of states: 4.50, 4.18, 22.35, 2.15, 4.07, 4.89 (in states/eV/f.u., following the order of the records).